No. 1
Nd5Sm2Dy3: optimized geometry, GGA-PBE.

```
Nd5Sm2Dy3
1.0
-4.735 11.049 3.445
4.735 -11.049 3.445
4.735 11.049 -3.445
Nd Sm Dy
10 4 6
Direct
0.003 0.750 0.253 Nd
0.127 0.097 0.223 Nd
0.250 0.250 0.000 Nd
0.373 0.597 0.970 Nd
0.497 0.750 0.747 Nd
0.503 0.250 0.253 Nd
0.627 0.403 0.030 Nd
0.750 0.750 0.000 Nd
0.873 0.903 0.777 Nd
0.997 0.250 0.747 Nd
0.122 0.404 0.526 Sm
0.378 0.904 0.283 Sm
0.622 0.096 0.717 Sm
0.878 0.596 0.474 Sm
0.120 0.747 0.867 Dy
0.250 0.750 0.500 Dy
0.380 0.247 0.627 Dy
0.620 0.753 0.373 Dy
0.750 0.250 0.500 Dy
0.880 0.253 0.133 Dy
```

Output
Space group ... Ibam (72)

No. 2
NdSmDy5: optimized geometry, GGA-PBE.

```
NdSmDy5
1.0
-2.885 4.326 5.909
2.885 -4.326 5.909
2.885 4.326 -5.909
Nd Sm Dy
1 1 5
Direct
0.000 0.000 0.000 Nd
0.500 0.500 0.000 Sm
0.180 0.500 0.680 Dy
0.253 0.253 0.000 Dy
0.500 0.000 0.500 Dy
0.747 0.747 0.000 Dy
0.820 0.500 0.320 Dy
```

Output
Space group ... Immm (71)

No. 3
Nd3Sm4Dy3: optimized geometry, GGA-PBE.

```
Nd3Sm4Dy3
1.0
3.773 0.000 0.000
0.000 6.689 6.735
0.000 -6.689 6.735
Nd Sm Dy
3 4 3
Direct
0.000 0.000 0.000 Nd
0.000 0.499 0.842 Nd
0.000 0.842 0.499 Nd
0.500 0.045 0.301 Sm
0.500 0.301 0.045 Sm
0.500 0.541 0.541 Sm
0.500 0.800 0.800 Sm
0.000 0.343 0.343 Dy
0.500 0.173 0.667 Dy
0.500 0.667 0.173 Dy
```

Output
Space group ... Amm2 (38)

No. 4
Nd7SmDy12: optimized geometry, GGA-PBE.

```
Nd7SmDy12
1.0
-5.672 5.672 5.672
5.672 -5.672 5.672
5.672 5.672 -5.672
Nd Sm Dy
7 1 12
Direct
0.000 0.000 0.500 Nd
0.000 0.500 0.000 Nd
0.000 0.500 0.500 Nd
0.500 0.000 0.000 Nd
0.500 0.000 0.500 Nd
0.500 0.500 0.000 Nd
0.500 0.500 0.500 Nd
0.000 0.000 0.000 Sm
0.001 0.751 0.249 Dy
0.249 0.001 0.751 Dy
0.249 0.249 0.498 Dy
0.249 0.498 0.249 Dy
0.249 0.751 0.999 Dy
0.498 0.249 0.249 Dy
0.502 0.751 0.751 Dy
0.751 0.249 0.001 Dy
0.751 0.502 0.751 Dy
0.751 0.751 0.502 Dy
0.751 0.999 0.249 Dy
0.999 0.249 0.751 Dy
```

Output
Space group ... Im-3 (204)

No. 5
Nd3SmDy7: optimized geometry, GGA-PBE.

```
Nd3SmDy7
1.0
6.990 0.000 0.000
0.000 5.559 0.000
-3.461 0.000 9.454
Nd Sm Dy
3 1 7
Direct
0.000 0.000 0.000 Nd
0.282 0.500 0.499 Nd
0.718 0.500 0.501 Nd
0.500 0.000 0.000 Sm
0.000 0.000 0.500 Dy
0.144 0.500 0.789 Dy
0.321 0.500 0.138 Dy
0.417 0.000 0.330 Dy
0.583 0.000 0.670 Dy
0.679 0.500 0.862 Dy
0.856 0.500 0.211 Dy
```

Output
Space group ... P2/m (10)

No. 6
Nd3Sm4Dy2: optimized geometry, GGA-PBE.

```
Nd3Sm4Dy2
1.0
6.015 -1.814 0.000
6.015 1.814 0.000
-5.456 0.000 13.904
Nd Sm Dy
3 4 2
Direct
0.000 0.000 0.000 Nd
0.110 0.110 0.443 Nd
0.890 0.890 0.557 Nd
0.221 0.221 0.889 Sm
0.331 0.331 0.331 Sm
0.669 0.669 0.669 Sm
0.779 0.779 0.111 Sm
0.445 0.445 0.779 Dy
0.555 0.555 0.221 Dy
```

Output
Space group ... C2/m (12)

No. 7
NdSm3Dy6: optimized geometry, GGA-PBE.

```
NdSm3Dy6
1.0
4.958 2.862 3.885
-4.958 2.862 3.885
0.000 -5.724 3.885
Nd Sm Dy
1 3 6
Direct
0.000 0.000 0.000 Nd
0.251 0.251 0.251 Sm
0.500 0.500 0.500 Sm
0.748 0.748 0.748 Sm
0.001 0.329 0.673 Dy
0.174 0.828 0.501 Dy
0.329 0.673 0.001 Dy
0.501 0.174 0.828 Dy
0.673 0.001 0.329 Dy
0.828 0.501 0.174 Dy
```

Output
Space group ... R3 (146)

No. 8
Nd3SmDy4: optimized geometry, GGA-PBE.

```
Nd3SmDy4
1.0
11.579 0.000 0.000
0.000 7.329 0.000
0.000 0.000 6.317
Nd Sm Dy
6 2 8
Direct
0.000 0.127 0.000 Nd
0.250 0.127 0.336 Nd
0.250 0.873 0.836 Nd
0.500 0.873 0.500 Nd
0.750 0.127 0.336 Nd
0.750 0.873 0.836 Nd
0.000 0.871 0.500 Sm
0.500 0.129 0.000 Sm
0.000 0.378 0.501 Dy
0.000 0.622 0.002 Dy
0.250 0.378 0.834 Dy
0.250 0.622 0.334 Dy
0.500 0.378 0.502 Dy
0.500 0.622 0.001 Dy
0.750 0.378 0.834 Dy
0.750 0.622 0.334 Dy
```

Output
Space group ... Pmn2_1 (31)

No. 9
NdSm4Dy8: optimized geometry, GGA-PBE.

```
NdSm4Dy8
1.0
5.518 3.186 4.511
-5.518 3.186 4.511
0.000 -6.372 4.511
Nd Sm Dy
1 4 8
Direct
0.000 0.000 0.000 Nd
0.000 0.000 0.500 Sm
0.000 0.500 0.000 Sm
0.500 0.000 0.000 Sm
0.500 0.500 0.500 Sm
0.261 0.261 0.261 Dy
0.261 0.261 0.739 Dy
0.261 0.739 0.261 Dy
0.261 0.739 0.739 Dy
0.739 0.261 0.261 Dy
0.739 0.261 0.739 Dy
0.739 0.739 0.261 Dy
0.739 0.739 0.739 Dy
```

Output
Space group ... R-3m (166)

| no. | energy relative to the elements (eV/atom) | size of the total moment (μB/atom) | volume (A^3/atom) |
| --- | --- | --- | --- |
| 1 | 0.365 | 0.000 | 36.0 |
| 2 | 1.083 | 0.000 | 42.1 |
| 3 | 0.108 | 0.000 | 34.0 |
| 4 | 0.630 | 0.000 | 36.5 |
| 5 | 0.143 | 0.000 | 33.4 |
| 6 | 0.014 | 0.000 | 33.7 |
| 7 | 0.281 | 0.000 | 33.1 |
| 8 | 0.027 | 0.000 | 33.5 |
| 9 | 0.513 | 0.105 | 36.6 |